<A>
A plane-wave DFT calculation with PBE was carried out for AcPr2Pu after structural relaxation.

Lattice parameters (Å, degrees): 3.641 3.641 13.004 81.95 81.95 60.00
Sites, in units of the cell vectors:
Pr  0.594  0.594  0.218
Pr  0.406  0.406  0.782
Ac  0.500  0.500  0.500
Pu  0.000  0.000  0.000

Summary:
Spin magnetization = 5.719 Bohr magnetons per cell


<B>
A plane-wave DFT calculation with PBE was carried out for AcPr2Pu after structural relaxation.

Lattice parameters (Å, degrees): 3.745 3.745 12.213 81.18 81.18 60.00
Sites, in units of the cell vectors:
Ac  0.500  0.500  0.499
Pr  0.078  0.078  0.766
Pr  0.255  0.255  0.234
Pu  0.666  0.666  0.001

Summary:
Spin magnetization = 6.284 Bohr magnetons per cell


Of them, <B> has the highest stability.


<A>
A plane-wave DFT calculation with PBE was carried out for AcPr2Rh after structural relaxation.

Lattice parameters (Å, degrees): 4.003 6.560 10.251 90.00 90.00 107.78
Sites, in units of the cell vectors:
Ac  0.417  0.834  0.250
Ac  0.583  0.166  0.750
Pr  0.144  0.287  0.431
Pr  0.856  0.713  0.569
Pr  0.856  0.713  0.931
Pr  0.144  0.287  0.069
Rh  0.733  0.465  0.250
Rh  0.267  0.535  0.750

Summary:
Spin magnetization = 0.000 Bohr magnetons per cell


<B>
A plane-wave DFT calculation with PBE was carried out for AcPr2Rh after structural relaxation.

Lattice parameters (Å, degrees): 3.964 3.964 11.219 79.82 79.82 60.00
Sites, in units of the cell vectors:
Pr  0.116  0.116  0.652
Pr  0.884  0.884  0.348
Ac  0.000  0.000  0.000
Rh  0.500  0.500  0.500

Summary:
Spin magnetization = 0.248 Bohr magnetons per cell


<C>
A plane-wave DFT calculation with PBE was carried out for AcPr2Rh after structural relaxation.

Lattice parameters (Å, degrees): 3.693 3.693 9.290 90.00 90.00 90.00
Sites, in units of the cell vectors:
Pr  0.000  0.000  0.821
Pr  0.000  0.000  0.179
Ac  0.500  0.500  0.500
Rh  0.500  0.500  0.000

Summary:
Spin magnetization = 0.000 Bohr magnetons per cell


Of them, <A> has the highest stability.